This record from Alexandria describes Ac6La5Pr2 after structural relaxation. The functional is PBE-GGA.

Properties
V: 41.20 A^3/atom
E_form: 114 meV/atom
E_tot: -57.36 eV/f.u.

Geometry as POSCAR:
```
Ac6La5Pr2
1.0
-2.1613 -0.7900 3.0387
6.8800 -9.0217 2.5480
13.8490 14.4005 13.5939
Ac La Pr
12 10 4
Cartesian
14.4349 1.1240 10.5590
8.9873 0.8790 6.6208
14.7106 9.4985 12.9323
15.4915 6.0686 14.9867
8.8411 7.2411 10.5614
6.0184 -4.1198 3.2095
6.2941 4.2548 5.5828
3.0762 -1.4797 4.1939
1.6990 1.3883 1.5694
9.7266 -2.6523 8.6192
19.0299 3.9905 14.5725
11.7417 4.4998 9.5211
8.0721 3.7508 9.1071
4.7004 -7.8431 3.6948
2.9363 2.4059 5.1045
12.1302 6.6302 12.7420
6.4375 -2.0414 6.4386
15.6314 2.1829 14.0760
2.3594 -4.9059 2.7933
10.4956 0.8380 10.0735
5.8438 6.8053 8.3163
13.8673 12.4319 15.4858
11.8039 9.6054 10.8927
14.6796 4.5078 11.6128
6.0494 0.8710 4.5291
8.9251 -4.2266 5.2491
```